Entry from Alexandria via LeMat-Bulk: crystalline Er6In3Hg at its relaxed geometry (PBE-GGA).

The structure in POSCAR format:
```
Er6In3Hg
1.0
-4.4663 -1.3398 -2.4994
4.6632 -0.7841 -7.9127
0.1427 -10.3089 5.2714
Er Hg In
12 2 6
Direct
0.7500 0.1568 0.6924
0.7500 0.5394 0.9139
0.7500 0.7597 0.5012
0.2500 0.8432 0.3076
0.7500 0.3390 0.3275
0.7500 0.9026 0.1218
0.2500 0.1373 0.1698
0.2500 0.2403 0.4988
0.2500 0.0974 0.8782
0.2500 0.6610 0.6725
0.2500 0.4606 0.0861
0.7500 0.8627 0.8302
0.2500 0.9540 0.6070
0.7500 0.0460 0.3930
0.7500 0.2221 0.0291
0.7500 0.4724 0.6189
0.7500 0.6209 0.2143
0.2500 0.3791 0.7857
0.2500 0.7779 0.9709
0.2500 0.5276 0.3811
```

## Properties
Electronic total energy ... -39.43 eV/f.u.
V ... 537.1 Å³ per cell
Density of states at the Fermi level ... 20.009 states/eV per cell
Energy of formation ... -0.354 eV per atom
Space-group type ... P2_1/m, No. 11